(1)
Entry from Alexandria: a relaxed structure of Nb3ZnRh4 (GGA-PBE).

a b c (Å): 9.1061 5.7100 4.7801
angles (deg): 90.00 90.00 90.00
Atoms (fractional coordinates):
Nb (0.0000, 0.0000, 0.0000)
Nb (0.2500, 0.0000, 0.3837)
Nb (0.2500, 0.5000, 0.3572)
Nb (0.5000, 0.0000, 0.0000)
Nb (0.7500, 0.0000, 0.6163)
Nb (0.7500, 0.5000, 0.6428)
Zn (0.0000, 0.5000, 0.0000)
Zn (0.5000, 0.5000, 0.0000)
Rh (0.0000, 0.2528, 0.5000)
Rh (0.0000, 0.7472, 0.5000)
Rh (0.2500, 0.2573, 0.8696)
Rh (0.2500, 0.7427, 0.8696)
Rh (0.5000, 0.2528, 0.5000)
Rh (0.5000, 0.7472, 0.5000)
Rh (0.7500, 0.2573, 0.1304)
Rh (0.7500, 0.7427, 0.1304)

Summary:
Calculated formation energy: -427 meV per atom
Symmetry: Pmma, No. 51



(2)
Entry from Alexandria: a relaxed structure of KRbCa2Se (GGA-PBE).

a b c (Å): 6.6822 6.6822 5.9240
angles (deg): 90.00 90.00 90.00
Atoms (fractional coordinates):
K (0.0000, 0.0000, 0.0000)
Rb (0.5000, 0.5000, 0.5000)
Ca (0.0000, 0.5000, 0.0000)
Ca (0.5000, 0.0000, 0.0000)
Se (0.0000, 0.0000, 0.5000)

Summary:
Formation energy (no corrections): 0.97 eV/f.u.
Symmetry: P4/mmm, No. 123



(3)
Entry from Alexandria: a relaxed structure of Ac2ErIr (GGA-PBE).

a b c (Å): 11.2082 11.2082 11.2082
angles (deg): 21.01 21.01 21.01
Atoms (fractional coordinates):
Ac (0.1138, 0.1138, 0.1138)
Ac (0.8862, 0.8862, 0.8862)
Er (0.0000, 0.0000, 0.0000)
Ir (0.5000, 0.5000, 0.5000)

Summary:
Calculated formation energy: -25 meV per atom
Symmetry: R-3m, No. 166



(4)
Entry from Alexandria: a relaxed structure of NaSb3Ir (GGA-PBE).

a b c (Å): 5.3004 5.3004 5.3004
angles (deg): 90.00 90.00 90.00
Atoms (fractional coordinates):
Na (0.0000, 0.0000, 0.0000)
Sb (0.0000, 0.5000, 0.5000)
Sb (0.5000, 0.0000, 0.5000)
Sb (0.5000, 0.5000, 0.0000)
Ir (0.5000, 0.5000, 0.5000)

Summary:
Formation energy (no corrections): 1.35 eV/f.u.
Distance to the lowest polymorph of the same formula: 0.00 eV/f.u.
Symmetry: Pm-3m, No. 221



(5)
Entry from Alexandria: a relaxed structure of VAg3I (GGA-PBE).

a b c (Å): 5.4112 5.4112 5.4112
angles (deg): 90.00 90.00 90.00
Atoms (fractional coordinates):
V (0.0000, 0.0000, 0.0000)
Ag (0.0000, 0.5000, 0.5000)
Ag (0.5000, 0.0000, 0.5000)
Ag (0.5000, 0.5000, 0.0000)
I (0.5000, 0.5000, 0.5000)

Summary:
Formation energy (no corrections): 6.71 eV/f.u.
Distance to the lowest polymorph of the same formula: 1.41 eV/f.u.
Symmetry: Pm-3m, No. 221



(6)
Entry from Alexandria: a relaxed structure of KY2Cr (GGA-PBE).

a b c (Å): 6.4397 6.4397 6.4397
angles (deg): 136.63 136.63 63.01
Atoms (fractional coordinates):
K (0.0000, 0.0000, 0.0000)
Y (0.2500, 0.7500, 0.5000)
Y (0.5000, 0.5000, 0.0000)
Cr (0.7500, 0.2500, 0.5000)

Summary:
Calculated formation energy: 838 meV per atom
Distance to the lowest polymorph of the same formula: 1.90 eV/f.u.
Symmetry: I-4m2, No. 119



(7)
Entry from Alexandria: a relaxed structure of NaMnCr2 (GGA-PBE).

a b c (Å): 9.7842 9.7842 9.7842
angles (deg): 158.65 158.65 30.37
Atoms (fractional coordinates):
Na (0.0000, 0.0000, 0.0000)
Na (0.7500, 0.2500, 0.5000)
Mn (0.2500, 0.7500, 0.5000)
Mn (0.5000, 0.5000, 0.0000)
Cr (0.1864, 0.1250, 0.5614)
Cr (0.3750, 0.8136, 0.9386)
Cr (0.5636, 0.6250, 0.4386)
Cr (0.8750, 0.4364, 0.0614)

Summary:
Calculated formation energy: 1286 meV per atom
Distance to the lowest polymorph of the same formula: 1.83 eV/f.u.
Symmetry: I-42d, No. 122



(8)
Entry from Alexandria: a relaxed structure of Ca2Sm4Dy (GGA-PBE).

a b c (Å): 12.3168 12.3168 12.3168
angles (deg): 163.33 152.33 32.47
Atoms (fractional coordinates):
Ca (0.2209, 0.2209, 0.0000)
Ca (0.7791, 0.7791, 0.0000)
Sm (0.0798, 0.5798, 0.5000)
Sm (0.3708, 0.8708, 0.5000)
Sm (0.6292, 0.1292, 0.5000)
Sm (0.9202, 0.4202, 0.5000)
Dy (0.5000, 0.5000, 0.0000)

Summary:
Calculated formation energy: 134 meV per atom
Distance to the lowest polymorph of the same formula: 0.00 eV/f.u.
Symmetry: Immm, No. 71



(9)
Entry from Alexandria: a relaxed structure of SrPRuAu (GGA-PBE).

a b c (Å): 5.6990 5.6990 5.6990
angles (deg): 138.40 131.03 66.15
Atoms (fractional coordinates):
Sr (0.0000, 0.0000, 0.0000)
P (0.3733, 0.3733, 0.0000)
Ru (0.2767, 0.7767, 0.5000)
Au (0.6319, 0.6319, 0.0000)

Summary:
Calculated formation energy: -387 meV per atom
Distance to the lowest polymorph of the same formula: 0.14 eV/f.u.
Symmetry: Imm2, No. 44



(10)
Entry from Alexandria: a relaxed structure of CsRbS2 (GGA-PBE).

a b c (Å): 8.9760 8.9760 8.9760
angles (deg): 35.01 35.01 35.01
Atoms (fractional coordinates):
Cs (0.0000, 0.0000, 0.0000)
Rb (0.5000, 0.5000, 0.5000)
S (0.1060, 0.1060, 0.1060)
S (0.8940, 0.8940, 0.8940)

Summary:
Formation energy (no corrections): -0.57 eV/f.u.
Distance to the lowest polymorph of the same formula: 2.95 eV/f.u.
Symmetry: R-3m, No. 166



(11)
Entry from Alexandria: a relaxed structure of Sm4PuTl5 (GGA-PBE).

a b c (Å): 3.8321 3.8321 19.5439
angles (deg): 90.00 90.00 90.00
Atoms (fractional coordinates):
Sm (0.0000, 0.0000, 0.1005)
Sm (0.0000, 0.0000, 0.3013)
Sm (0.0000, 0.0000, 0.6987)
Sm (0.0000, 0.0000, 0.8995)
Pu (0.0000, 0.0000, 0.5000)
Tl (0.5000, 0.5000, 0.0000)
Tl (0.5000, 0.5000, 0.2004)
Tl (0.5000, 0.5000, 0.3991)
Tl (0.5000, 0.5000, 0.6009)
Tl (0.5000, 0.5000, 0.7996)

Summary:
Calculated formation energy: -292 meV per atom
Symmetry: P4/mmm, No. 123



(12)
Entry from Alexandria: a relaxed structure of CsNa2CdAg (GGA-PBE).

a b c (Å): 5.8949 5.8949 5.5566
angles (deg): 90.00 90.00 90.00
Atoms (fractional coordinates):
Cs (0.0000, 0.0000, 0.0000)
Na (0.0000, 0.5000, 0.5000)
Na (0.5000, 0.0000, 0.5000)
Cd (0.5000, 0.5000, 0.0000)
Ag (0.5000, 0.5000, 0.5000)

Summary:
Calculated formation energy: 10 meV per atom
Distance to the lowest polymorph of the same formula: 0.00 eV/f.u.
Symmetry: P4/mmm, No. 123



Number 1: DFT total energy -8.04 eV/atom, Fermi-level density of states 9.71 states/eV per cell. Number 2: DFT total energy -1.72 eV/atom, Fermi-level density of states 4.20 states/eV per cell. Number 3: DFT total energy -5.44 eV/atom, Fermi-level density of states 5.57 states/eV per cell. Number 4: DFT total energy -4.24 eV/atom, Fermi-level density of states 4.57 states/eV per cell. Number 5: DFT total energy -2.50 eV/atom, Fermi-level density of states 6.25 states/eV per cell. Number 6: DFT total energy -5.07 eV/atom, Fermi-level density of states 5.15 states/eV per cell. Number 7: DFT total energy -6.15 eV/atom, Fermi-level density of states 10.78 states/eV per cell. Number 8: DFT total energy -3.79 eV/atom, Fermi-level density of states 11.51 states/eV per cell. Number 9: DFT total energy -5.30 eV/atom, Fermi-level density of states 2.17 states/eV per cell. Number 10: DFT total energy -2.66 eV/atom, Fermi-level density of states 0.00 states/eV per cell. Number 11: DFT total energy -4.80 eV/atom, Fermi-level density of states 15.11 states/eV per cell. Number 12: DFT total energy -1.44 eV/atom, Fermi-level density of states 2.35 states/eV per cell.